Entry 1:
VASP calculation (PBE) on a geometry-optimized TlCrFe structure.

Cell lengths 5.846, 5.846, 2.933 Å; angles 75.47, 75.47, 29.06 degrees
Last column: magnetic moment on the atom in μB.
Atoms (fractional coordinates):
Cr  0.973  0.973  0.027  -1.45
Fe  0.359  0.359  0.641  1.99
Tl  0.668  0.668  0.332  0.02

Formation enthalpy at 0 K, meV/atom: 571.1
Raw total energy, eV per atom: -6.246
Volume, Å³ per cell: 47.0
Symmetry: I4mm, No. 107
Total magnetization, μB/cell: 0.509

***

Entry 2:
VASP calculation (PBE) on a geometry-optimized TlCr3Fe structure.

Cell lengths 4.406, 4.406, 4.406 Å; angles 90.00, 90.00, 90.00 degrees
Last column: magnetic moment on the atom in μB.
Atoms (fractional coordinates):
Cr  0.000  0.000  0.500  2.31
Cr  0.500  0.000  0.000  2.61
Cr  0.000  0.500  0.000  2.41
Tl  0.500  0.500  0.500  -0.09
Fe  0.000  0.000  0.000  -1.01

Formation enthalpy at 0 K, meV/atom: 1044.8
Raw total energy, eV per atom: -6.895
Volume, Å³ per cell: 85.5
Symmetry: Pm-3m, No. 221
Total magnetization, μB/cell: 6.598

***

Entry 3:
VASP calculation (PBE) on a geometry-optimized TlCr2Fe structure.

Cell lengths 3.935, 3.768, 4.120 Å; angles 90.00, 90.00, 90.00 degrees
Last column: magnetic moment on the atom in μB.
Atoms (fractional coordinates):
Cr  0.000  0.000  0.000  2.57
Cr  0.500  0.500  0.000  -3.05
Tl  0.000  0.500  0.500  -0.05
Fe  0.500  0.000  0.500  2.06

Formation enthalpy at 0 K, meV/atom: 567.7
Raw total energy, eV per atom: -6.951
Volume, Å³ per cell: 61.1
Symmetry: Pmmm, No. 47
Total magnetization, μB/cell: 1.441

***

Entry 4:
VASP calculation (PBE) on a geometry-optimized TlCr2Fe structure.

Cell lengths 3.202, 3.176, 6.658 Å; angles 61.51, 90.00, 90.00 degrees
Last column: magnetic moment on the atom in μB.
Atoms (fractional coordinates):
Cr  0.000  0.927  0.073  0.14
Cr  0.000  0.573  0.427  0.14
Tl  0.500  0.750  0.750  0.00
Fe  0.500  0.250  0.250  2.08

Formation enthalpy at 0 K, meV/atom: 508.0
Raw total energy, eV per atom: -7.011
Volume, Å³ per cell: 59.5
Symmetry: Pmmm, No. 47
Total magnetization, μB/cell: 2.381

***

Entry 5:
VASP calculation (PBE) on a geometry-optimized TlCr2Fe structure.

Cell lengths 2.943, 2.937, 7.598 Å; angles 67.35, 90.00, 90.00 degrees
Last column: magnetic moment on the atom in μB.
Atoms (fractional coordinates):
Fe  0.000  0.555  0.447  2.00
Cr  0.000  0.944  0.054  2.50
Cr  0.500  0.242  0.259  -1.69
Tl  0.500  0.760  0.740  -0.05

Formation enthalpy at 0 K, meV/atom: 472.9
Raw total energy, eV per atom: -7.046
Volume, Å³ per cell: 60.6
Symmetry: Pm, No. 6
Total magnetization, μB/cell: 2.851

***

Entry 6:
VASP calculation (PBE) on a geometry-optimized TlCr2Fe structure.

Cell lengths 2.802, 2.802, 8.362 Å; angles 90.00, 90.00, 112.89 degrees
Last column: magnetic moment on the atom in μB.
Atoms (fractional coordinates):
Cr  0.500  0.500  0.242  -0.35
Cr  0.000  0.000  0.043  0.49
Fe  0.000  0.000  0.465  2.56
Tl  0.500  0.500  0.750  -0.02

Formation enthalpy at 0 K, meV/atom: 651.3
Raw total energy, eV per atom: -6.868
Volume, Å³ per cell: 60.5
Symmetry: Cmm2, No. 35
Total magnetization, μB/cell: 2.651

***

Entry 7:
VASP calculation (PBE) on a geometry-optimized TlCrFe structure.

Cell lengths 4.311, 4.311, 4.311 Å; angles 60.00, 60.00, 60.00 degrees
Last column: magnetic moment on the atom in μB.
Atoms (fractional coordinates):
Cr  0.500  0.500  0.500  -3.20
Tl  0.000  0.000  0.000  0.02
Fe  0.750  0.750  0.750  2.42

Formation enthalpy at 0 K, meV/atom: 774.7
Raw total energy, eV per atom: -6.043
Volume, Å³ per cell: 56.7
Symmetry: F-43m, No. 216
Total magnetization, μB/cell: 0.974

***

Entry 8:
VASP calculation (PBE) on a geometry-optimized TlCr2Fe structure.

Cell lengths 8.409, 8.409, 8.409 Å; angles 20.27, 20.27, 20.27 degrees
Last column: magnetic moment on the atom in μB.
Atoms (fractional coordinates):
Cr  0.250  0.250  0.250  -1.41
Cr  0.986  0.986  0.986  2.20
Tl  0.751  0.751  0.751  -0.06
Fe  0.513  0.513  0.513  2.34

Formation enthalpy at 0 K, meV/atom: 665.4
Raw total energy, eV per atom: -6.854
Volume, Å³ per cell: 62.5
Symmetry: R3m, No. 160
Total magnetization, μB/cell: 3.115